(A)
Material: Ho4Tl2Pb
Method: DFT, GGA-PBE
State: relaxed

```
data_Ho4Tl2Pb
_symmetry_space_group_name_H-M 'R -3 m'
_symmetry_Int_Tables_number 166
_symmetry_space_group_name_Hall '-R 3 2"'
_cell_length_a 5.2596
_cell_length_b 5.2596
_cell_length_c 26.1855
_cell_angle_alpha 90.00
_cell_angle_beta 90.00
_cell_angle_gamma 120.00
loop_
_atom_site_label
_atom_site_fract_x
_atom_site_fract_y
_atom_site_fract_z
Ho1 0.0000 0.0000 0.1206
Ho2 0.0000 0.0000 0.3744
Tl1 0.0000 0.0000 0.2577
Pb1 0.0000 0.0000 0.5000
```

D(E_F) = 0.912 states/eV per atom
Crystal system = trigonal
Density = 10.13 g cm⁻³



(B)
Material: Ho4Tl2Pb
Method: DFT, GGA-PBE
State: relaxed

```
data_Ho4Tl2Pb
_symmetry_space_group_name_H-M 'C 1 2 1'
_symmetry_Int_Tables_number 5
_symmetry_space_group_name_Hall 'C 2y'
_cell_length_a 13.1824
_cell_length_b 9.3127
_cell_length_c 9.3095
_cell_angle_alpha 90.00
_cell_angle_beta 134.84
_cell_angle_gamma 90.00
loop_
_atom_site_label
_atom_site_fract_x
_atom_site_fract_y
_atom_site_fract_z
Ho1 0.0717 0.0000 0.2488
Ho2 0.0718 0.6455 0.3944
Ho3 0.1782 0.2500 0.7509
Ho4 0.1785 0.3956 0.1056
Tl1 0.0000 0.7006 0.0000
Tl2 0.0000 0.9450 0.5000
Tl3 0.2501 0.0728 0.1223
Pb1 0.1250 0.3228 0.3750
```

D(E_F) = 0.828 states/eV per atom
Crystal system = monoclinic
Density = 10.46 g cm⁻³



Most stable structure - (B); separation to the second - 112 meV/atom.



(A)
Material: HoTmTlPb
Method: DFT, GGA-PBE
State: relaxed

```
data_HoTmTlPb
_symmetry_space_group_name_H-M 'F -4 3 m'
_symmetry_Int_Tables_number 216
_symmetry_space_group_name_Hall 'F -4 2 3'
_cell_length_a 7.6031
_cell_length_b 7.6031
_cell_length_c 7.6031
_cell_angle_alpha 90.00
_cell_angle_beta 90.00
_cell_angle_gamma 90.00
loop_
_atom_site_label
_atom_site_fract_x
_atom_site_fract_y
_atom_site_fract_z
Ho1 0.0000 0.0000 0.0000
Tm1 0.0000 0.0000 0.5000
Tl1 0.2500 0.2500 0.2500
Pb1 0.2500 0.2500 0.7500
```

D(E_F) = 0.993 states/eV per atom
Crystal system = cubic
Density = 11.27 g cm⁻³



(B)
Material: HoTmTlPb
Method: DFT, GGA-PBE
State: relaxed

```
data_HoTmTlPb
_symmetry_space_group_name_H-M 'I -4 m 2'
_symmetry_Int_Tables_number 119
_symmetry_space_group_name_Hall 'I -4 -2'
_cell_length_a 4.9825
_cell_length_b 4.9825
_cell_length_c 8.7551
_cell_angle_alpha 90.00
_cell_angle_beta 90.00
_cell_angle_gamma 90.00
loop_
_atom_site_label
_atom_site_fract_x
_atom_site_fract_y
_atom_site_fract_z
Ho1 0.0000 0.0000 0.0000
Tm1 0.0000 0.0000 0.5000
Tl1 0.0000 0.5000 0.2500
Pb1 0.0000 0.5000 0.7500
```

D(E_F) = 0.755 states/eV per atom
Crystal system = tetragonal
Density = 11.39 g cm⁻³



Most stable structure - (B); separation to the second - 38 meV/atom.



(A)
Material: YHoTlPb
Method: DFT, GGA-PBE
State: relaxed

```
data_YHoTlPb
_symmetry_space_group_name_H-M 'F -4 3 m'
_symmetry_Int_Tables_number 216
_symmetry_space_group_name_Hall 'F -4 2 3'
_cell_length_a 7.6419
_cell_length_b 7.6419
_cell_length_c 7.6419
_cell_angle_alpha 90.00
_cell_angle_beta 90.00
_cell_angle_gamma 90.00
loop_
_atom_site_label
_atom_site_fract_x
_atom_site_fract_y
_atom_site_fract_z
Y1 0.0000 0.0000 0.0000
Ho1 0.0000 0.0000 0.5000
Tl1 0.2500 0.2500 0.7500
Pb1 0.2500 0.2500 0.2500
```

D(E_F) = 0.821 states/eV per atom
Crystal system = cubic
Density = 9.90 g cm⁻³



(B)
Material: YHoTlPb
Method: DFT, GGA-PBE
State: relaxed

```
data_YHoTlPb
_symmetry_space_group_name_H-M 'I -4 m 2'
_symmetry_Int_Tables_number 119
_symmetry_space_group_name_Hall 'I -4 -2'
_cell_length_a 5.0118
_cell_length_b 5.0118
_cell_length_c 8.7947
_cell_angle_alpha 90.00
_cell_angle_beta 90.00
_cell_angle_gamma 90.00
loop_
_atom_site_label
_atom_site_fract_x
_atom_site_fract_y
_atom_site_fract_z
Y1 0.0000 0.0000 0.0000
Ho1 0.0000 0.0000 0.5000
Tl1 0.0000 0.5000 0.2500
Pb1 0.0000 0.5000 0.7500
```

D(E_F) = 0.793 states/eV per atom
Crystal system = tetragonal
Density = 10.00 g cm⁻³



Most stable structure - (B); separation to the second - 35 meV/atom.



(A)
Material: Ho2TmPb3
Method: DFT, GGA-PBE
State: relaxed

```
data_Ho2TmPb3
_symmetry_space_group_name_H-M 'C m c 21'
_symmetry_Int_Tables_number 36
_symmetry_space_group_name_Hall 'C 2c -2'
_cell_length_a 9.7163
_cell_length_b 11.6550
_cell_length_c 6.3324
_cell_angle_alpha 90.00
_cell_angle_beta 90.00
_cell_angle_gamma 90.00
loop_
_atom_site_label
_atom_site_fract_x
_atom_site_fract_y
_atom_site_fract_z
Ho1 0.1812 0.1322 0.0000
Tm1 0.0000 0.3657 0.7613
Pb1 0.0000 0.3497 0.2593
Pb2 0.1751 0.1313 0.5046
```

D(E_F) = 0.945 states/eV per atom
Crystal system = orthorhombic
Density = 10.38 g cm⁻³



(B)
Material: Ho2TmPb3
Method: DFT, GGA-PBE
State: relaxed

```
data_Ho2TmPb3
_symmetry_space_group_name_H-M 'C 1 2/c 1'
_symmetry_Int_Tables_number 15
_symmetry_space_group_name_Hall '-C 2yc'
_cell_length_a 16.8166
_cell_length_b 6.3652
_cell_length_c 6.3675
_cell_angle_alpha 90.00
_cell_angle_beta 100.85
_cell_angle_gamma 90.00
loop_
_atom_site_label
_atom_site_fract_x
_atom_site_fract_y
_atom_site_fract_z
Ho1 0.1667 0.1255 0.0846
Tm1 0.0000 0.3761 0.2500
Pb1 0.0000 0.1238 0.7500
Pb2 0.1660 0.3751 0.5826
```

D(E_F) = 0.395 states/eV per atom
Crystal system = monoclinic
Density = 11.12 g cm⁻³



Most stable structure - (B); separation to the second - 218 meV/atom.